A plane-wave DFT calculation with PBE was carried out for a relaxed structure of Dy2ZnRu.

```
Dy2ZnRu
1.0
1.931 1.115 9.445
-1.931 1.115 9.445
0.000 -2.230 9.445
Dy Zn Ru
2 1 1
direct
0.112 0.112 0.112 Dy
0.888 0.888 0.888 Dy
0.000 0.000 0.000 Zn
0.500 0.500 0.500 Ru
```

Properties
ΔH_f (0 K), eV per atom: 0.13
Energy above the lowest structure with this stoichiometry, eV per atom: 0.5301
SG: No. 166


A plane-wave DFT calculation with PBE was carried out for a relaxed structure of DyZrZnRu.

```
DyZrZnRu
1.0
0.000 3.396 3.396
3.396 0.000 3.396
3.396 3.396 0.000
Dy Zr Zn Ru
1 1 1 1
direct
0.000 0.000 0.000 Dy
0.500 0.500 0.500 Zr
0.750 0.750 0.750 Zn
0.250 0.250 0.250 Ru
```

Properties
ΔH_f (0 K), eV per atom: -0.34
SG: No. 216


A plane-wave DFT calculation with PBE was carried out for a relaxed structure of DyZr2Ru.

```
DyZr2Ru
1.0
1.637 0.945 10.167
-1.637 0.945 10.167
0.000 -1.890 10.167
Dy Zr Ru
1 2 1
direct
0.000 0.000 0.000 Dy
0.104 0.104 0.104 Zr
0.896 0.896 0.896 Zr
0.500 0.500 0.500 Ru
```

Properties
ΔH_f (0 K), eV per atom: 0.14
Energy above the lowest structure with this stoichiometry, eV per atom: 0.3177
SG: No. 166


A plane-wave DFT calculation with PBE was carried out for a relaxed structure of DyZr2Ru.

```
DyZr2Ru
1.0
3.313 0.000 0.000
0.000 3.313 0.000
0.000 0.000 8.000
Dy Zr Ru
1 2 1
direct
0.000 0.000 0.000 Dy
0.500 0.500 0.301 Zr
0.500 0.500 0.699 Zr
0.000 0.000 0.500 Ru
```

Properties
ΔH_f (0 K), eV per atom: -0.18
Energy above the lowest structure with this stoichiometry, eV per atom: 0.0000
SG: No. 123


A plane-wave DFT calculation with PBE was carried out for a relaxed structure of DyZrRu4.

```
DyZrRu4
1.0
0.000 3.729 3.729
3.729 0.000 3.729
3.729 3.729 0.000
Dy Zr Ru
1 1 4
direct
0.000 0.000 0.000 Dy
0.750 0.750 0.750 Zr
0.375 0.375 0.375 Ru
0.375 0.375 0.874 Ru
0.375 0.874 0.375 Ru
0.874 0.375 0.375 Ru
```

Properties
ΔH_f (0 K), eV per atom: -0.31
SG: No. 216


A plane-wave DFT calculation with PBE was carried out for a relaxed structure of DyZr4Ru5.

```
DyZr4Ru5
1.0
3.293 0.000 0.000
0.000 3.293 0.000
0.000 0.000 16.636
Dy Zr Ru
1 4 5
direct
0.000 0.000 0.000 Dy
0.000 0.000 0.202 Zr
0.000 0.000 0.401 Zr
0.000 0.000 0.599 Zr
0.000 0.000 0.798 Zr
0.500 0.500 0.111 Ru
0.500 0.500 0.305 Ru
0.500 0.500 0.500 Ru
0.500 0.500 0.695 Ru
0.500 0.500 0.889 Ru
```

Properties
ΔH_f (0 K), eV per atom: -0.61
SG: No. 123


A plane-wave DFT calculation with PBE was carried out for a relaxed structure of Dy5ZrRu6.

```
Dy5ZrRu6
1.0
4.132 -7.141 0.000
4.132 7.141 0.000
-2.765 0.000 3.913
Dy Zr Ru
5 1 6
direct
0.000 0.000 0.000 Dy
0.166 0.834 0.500 Dy
0.333 0.667 0.000 Dy
0.667 0.333 0.000 Dy
0.834 0.166 0.500 Dy
0.500 0.500 0.500 Zr
0.094 0.418 0.256 Ru
0.262 0.262 0.762 Ru
0.418 0.094 0.256 Ru
0.582 0.906 0.744 Ru
0.738 0.738 0.238 Ru
0.906 0.582 0.744 Ru
```

Properties
ΔH_f (0 K), eV per atom: -0.38
SG: No. 12


A plane-wave DFT calculation with PBE was carried out for a relaxed structure of DyS2.

```
DyS2
1.0
6.976 0.000 0.000
0.000 7.423 0.000
0.000 0.000 5.060
Dy S
4 8
direct
0.245 0.049 0.250 Dy
0.245 0.451 0.750 Dy
0.755 0.549 0.250 Dy
0.755 0.951 0.750 Dy
0.107 0.105 0.750 S
0.107 0.395 0.250 S
0.439 0.750 0.000 S
0.439 0.750 0.500 S
0.561 0.250 0.000 S
0.561 0.250 0.500 S
0.893 0.605 0.750 S
0.893 0.895 0.250 S
```

Properties
SG: No. 57
ΔE_f (raw), eV/atom: -1.673


A plane-wave DFT calculation with PBE was carried out for a relaxed structure of Dy4S.

```
Dy4S
1.0
5.295 0.000 0.000
0.000 5.295 0.000
0.000 0.000 5.295
Dy S
4 1
direct
0.000 0.000 0.000 Dy
0.000 0.500 0.500 Dy
0.500 0.000 0.500 Dy
0.500 0.500 0.000 Dy
0.500 0.500 0.500 S
```

Properties
SG: No. 221
ΔE_f (raw), eV/atom: -0.647


A plane-wave DFT calculation with PBE was carried out for a relaxed structure of Dy3S4.

```
Dy3S4
1.0
-4.152 4.152 4.152
4.152 -4.152 4.152
4.152 4.152 -4.152
Dy S
6 8
direct
0.125 0.750 0.875 Dy
0.250 0.625 0.375 Dy
0.375 0.250 0.625 Dy
0.625 0.375 0.250 Dy
0.750 0.875 0.125 Dy
0.875 0.125 0.750 Dy
0.000 0.357 0.500 S
0.000 0.857 0.500 S
0.143 0.143 0.143 S
0.357 0.500 0.000 S
0.500 0.000 0.357 S
0.500 0.000 0.857 S
0.643 0.643 0.643 S
0.857 0.500 0.000 S
```

Properties
Energy above the lowest structure with this stoichiometry, eV per atom: 0.0824
SG: No. 220
ΔE_f (raw), eV/atom: -1.989


A plane-wave DFT calculation with PBE was carried out for a relaxed structure of DyS.

```
DyS
1.0
0.000 2.762 2.762
2.762 0.000 2.762
2.762 2.762 0.000
Dy S
1 1
direct
0.000 0.000 0.000 Dy
0.500 0.500 0.500 S
```

Properties
SG: No. 225
ΔE_f (raw), eV/atom: -1.989


A plane-wave DFT calculation with PBE was carried out for a relaxed structure of DyS4.

```
DyS4
1.0
5.337 0.000 0.000
0.000 5.337 0.000
0.000 0.000 5.337
Dy S
1 4
direct
0.000 0.000 0.000 Dy
0.000 0.000 0.500 S
0.000 0.500 0.000 S
0.500 0.000 0.000 S
0.500 0.500 0.500 S
```

Properties
Energy above the lowest structure with this stoichiometry, eV per atom: 1.0146
SG: No. 221
ΔE_f (raw), eV/atom: 0.192


no.,uncorrected energy (eV/atom)
1,-4.81
2,-6.26
3,-7.60
4,-7.92
5,-8.68
6,-9.12
7,-7.65
8,-5.96
9,-5.15
10,-6.32
11,-6.35
12,-4.03